{"formula": "ZnNi", "functional": "GGA-PBE", "state": "optimized geometry", "lattice_angstrom": [[2.6392, 0.0000, 0.0000], [-1.3196, 2.2856, 0.0000], [0.0000, 0.0000, 4.0652]], "species": ["Zn", "Ni"], "fractional_positions": [[0.0000, 0.0000, 0.0000], [0.6667, 0.3333, 0.5000]]}

{"formula": "ZnNi", "functional": "GGA-PBE", "state": "optimized geometry", "lattice_angstrom": [[2.6272, 0.0000, 0.0000], [-1.3136, 2.2752, 0.0000], [0.0000, 0.0000, 8.3342]], "species": ["Zn", "Zn", "Ni", "Ni"], "fractional_positions": [[0.3333, 0.6667, 0.3595], [0.6667, 0.3333, 0.6405], [0.3333, 0.6667, 0.8814], [0.6667, 0.3333, 0.1186]]}

{"formula": "Zn3Ni", "functional": "GGA-PBE", "state": "optimized geometry", "lattice_angstrom": [[4.7667, 0.0000, 0.0000], [0.0000, 4.7667, 0.0000], [0.0000, 0.0000, 4.7667]], "species": ["Zn", "Zn", "Zn", "Zn", "Zn", "Zn", "Ni", "Ni"], "fractional_positions": [[0.0000, 0.2500, 0.5000], [0.0000, 0.7500, 0.5000], [0.2500, 0.5000, 0.0000], [0.5000, 0.0000, 0.2500], [0.5000, 0.0000, 0.7500], [0.7500, 0.5000, 0.0000], [0.0000, 0.0000, 0.0000], [0.5000, 0.5000, 0.5000]]}

{"formula": "Zn3Ni", "functional": "GGA-PBE", "state": "optimized geometry", "lattice_angstrom": [[-1.3635, 4.2663, 2.2832], [1.3635, -4.2663, 2.2832], [1.3635, 4.2663, -2.2832]], "species": ["Zn", "Zn", "Zn", "Ni"], "fractional_positions": [[0.0000, 0.0000, 0.0000], [0.4040, 0.6438, 0.7603], [0.8835, 0.6438, 0.2397], [0.4839, 0.9839, 0.5000]]}

| no. | energy of formation from the pure elements (kJ/mol of atoms) |
| --- | --- |
| 1 | -12.88 |
| 2 | -3.29 |
| 3 | -4.34 |
| 4 | -12.82 |